Entry 1:
DFT (GGA-PBE) results for a relaxed structure of CaHfBe2B.

a b c (Å): 4.6796 4.6796 5.9337
angles (deg): 90.00 90.00 90.00
Positions (direct):
1 Ca 0.0000 0.0000 0.0000
2 Hf 0.0000 0.0000 0.5000
3 Be 0.0000 0.5000 0.5000
4 Be 0.5000 0.0000 0.5000
5 B 0.5000 0.5000 0.0000

## Properties
The space group is No. 123. The energy of formation from the pure elements is 2254 meV per atom. Its density of states at the Fermi level is 1.212 states/eV/atom. The crystal system is tetragonal.

---

Entry 2:
DFT (GGA-PBE) results for a relaxed structure of Li2Th3Ge4.

a b c (Å): 5.9931 5.9931 8.6152
angles (deg): 107.99 107.99 42.28
Positions (direct):
1 Li 0.1745 0.1745 0.3389
2 Li 0.8255 0.8255 0.6611
3 Th 0.1290 0.1290 0.6861
4 Th 0.5000 0.5000 0.0000
5 Th 0.8710 0.8710 0.3139
6 Ge 0.2159 0.2159 0.0672
7 Ge 0.4113 0.4113 0.6047
8 Ge 0.5887 0.5887 0.3953
9 Ge 0.7841 0.7841 0.9328

## Properties
The space group is No. 12. The energy of formation from the pure elements is -615 meV per atom. Its density of states at the Fermi level is 0.425 states/eV/atom. The crystal system is monoclinic.

---

Entry 3:
DFT (GGA-PBE) results for a relaxed structure of LiSbTe2P.

a b c (Å): 5.0507 5.0507 4.8341
angles (deg): 90.00 90.00 90.00
Positions (direct):
1 Li 0.0000 0.0000 0.0000
2 Sb 0.0000 0.0000 0.5000
3 Te 0.0000 0.5000 0.0000
4 Te 0.5000 0.0000 0.0000
5 P 0.5000 0.5000 0.5000

## Properties
The space group is No. 123. Its density of states at the Fermi level is 0.806 states/eV/atom. The crystal system is tetragonal. The value obtained for the raw formation energy is 0.625 eV/atom.

---

Entry 4:
DFT (GGA-PBE) results for a relaxed structure of Cs2ZrS4.

a b c (Å): 5.1530 5.1530 17.6597
angles (deg): 90.00 90.00 90.00
Positions (direct):
1 Cs 0.0000 0.0000 0.1489
2 Cs 0.0000 0.0000 0.8511
3 Cs 0.5000 0.5000 0.3511
4 Cs 0.5000 0.5000 0.6489
5 Zr 0.0000 0.0000 0.5000
6 Zr 0.5000 0.5000 0.0000
7 S 0.0000 0.0000 0.3582
8 S 0.0000 0.0000 0.6418
9 S 0.0000 0.5000 0.0000
10 S 0.0000 0.5000 0.5000
11 S 0.5000 0.0000 0.0000
12 S 0.5000 0.0000 0.5000
13 S 0.5000 0.5000 0.1418
14 S 0.5000 0.5000 0.8582

## Properties
The space group is No. 139. Its density of states at the Fermi level is 0.752 states/eV/atom. The crystal system is tetragonal. The value obtained for the raw formation energy is -1.027 eV/atom.

---

Entry 5:
DFT (GGA-PBE) results for a relaxed structure of Tc2IrOs.

a b c (Å): 9.9608 2.7488 9.5888
angles (deg): 90.00 118.65 90.00
Positions (direct):
1 Tc 0.1229 0.0000 0.2277
2 Tc 0.1257 0.0000 0.7308
3 Tc 0.3743 0.5000 0.2692
4 Tc 0.3771 0.5000 0.7723
5 Tc 0.6229 0.5000 0.2277
6 Tc 0.6257 0.5000 0.7308
7 Tc 0.8743 0.0000 0.2692
8 Tc 0.8771 0.0000 0.7723
9 Ir 0.1242 0.5000 0.4786
10 Ir 0.3758 0.0000 0.5214
11 Ir 0.6242 0.0000 0.4786
12 Ir 0.8758 0.5000 0.5214
13 Os 0.1261 0.5000 0.9809
14 Os 0.3739 0.0000 0.0191
15 Os 0.6261 0.0000 0.9809
16 Os 0.8739 0.5000 0.0191

## Properties
The space group is No. 12. The energy of formation from the pure elements is -159 meV per atom. Its density of states at the Fermi level is 0.707 states/eV/atom. The crystal system is monoclinic.

---

Entry 6:
DFT (GGA-PBE) results for a relaxed structure of Ba2Cd6Ag3.

a b c (Å): 8.6883 8.6883 4.6447
angles (deg): 90.00 90.00 120.00
Positions (direct):
1 Ba 0.3333 0.6667 0.0000
2 Ba 0.6667 0.3333 0.0000
3 Cd 0.0000 0.1959 0.0000
4 Cd 0.0000 0.7175 0.5000
5 Cd 0.1959 0.0000 0.0000
6 Cd 0.2825 0.2825 0.5000
7 Cd 0.7175 0.0000 0.5000
8 Cd 0.8041 0.8041 0.0000
9 Ag 0.0000 0.3872 0.5000
10 Ag 0.3872 0.0000 0.5000
11 Ag 0.6128 0.6128 0.5000

## Properties
The space group is No. 189. The energy of formation from the pure elements is -215 meV per atom. Its density of states at the Fermi level is 0.426 states/eV/atom. The crystal system is hexagonal.

---

Entry 7:
DFT (GGA-PBE) results for a relaxed structure of SbAu3Se.

a b c (Å): 5.0247 5.0247 5.0247
angles (deg): 90.00 90.00 90.00
Positions (direct):
1 Sb 0.0000 0.0000 0.0000
2 Au 0.0000 0.5000 0.5000
3 Au 0.5000 0.0000 0.5000
4 Au 0.5000 0.5000 0.0000
5 Se 0.5000 0.5000 0.5000

## Properties
The space group is No. 221. Its density of states at the Fermi level is 0.854 states/eV/atom. The crystal system is cubic. The value obtained for the raw formation energy is 0.579 eV/atom.

---

Entry 8:
DFT (GGA-PBE) results for a relaxed structure of BaCaRh2.

a b c (Å): 3.6064 3.6064 8.5846
angles (deg): 90.00 90.00 90.00
Positions (direct):
1 Ba 0.0000 0.0000 0.0000
2 Ca 0.5000 0.5000 0.4283
3 Rh 0.0000 0.0000 0.6535
4 Rh 0.5000 0.5000 0.7405

## Properties
The space group is No. 99. The energy of formation from the pure elements is 39 meV per atom. Its density of states at the Fermi level is 1.124 states/eV/atom. The crystal system is tetragonal.

---

Entry 9:
DFT (GGA-PBE) results for a relaxed structure of CaP2Se.

a b c (Å): 3.8629 3.8629 19.9599
angles (deg): 90.00 90.00 120.00
Positions (direct):
1 Ca 0.0000 0.0000 0.0000
2 Ca 0.3333 0.6667 0.6667
3 Ca 0.6667 0.3333 0.3333
4 P 0.0000 0.0000 0.2380
5 P 0.0000 0.0000 0.7620
6 P 0.3333 0.6667 0.4287
7 P 0.3333 0.6667 0.9046
8 P 0.6667 0.3333 0.0954
9 P 0.6667 0.3333 0.5713
10 Se 0.0000 0.0000 0.5000
11 Se 0.3333 0.6667 0.1667
12 Se 0.6667 0.3333 0.8333

## Properties
The space group is No. 166. Its density of states at the Fermi level is 0.006 states/eV/atom. The crystal system is trigonal. The value obtained for the raw formation energy is -0.140 eV/atom.

---

Entry 10:
DFT (GGA-PBE) results for a relaxed structure of CsY2Rh.

a b c (Å): 8.4322 8.4322 12.0410
angles (deg): 90.00 90.00 90.00
Positions (direct):
1 Cs 0.0000 0.0000 0.0000
2 Cs 0.0000 0.5000 0.2500
3 Cs 0.5000 0.0000 0.7500
4 Cs 0.5000 0.5000 0.5000
5 Y 0.0006 0.2500 0.6250
6 Y 0.2500 0.5006 0.8750
7 Y 0.2500 0.9994 0.3750
8 Y 0.4994 0.2500 0.1250
9 Y 0.5006 0.7500 0.1250
10 Y 0.7500 0.0006 0.3750
11 Y 0.7500 0.4994 0.8750
12 Y 0.9994 0.7500 0.6250
13 Rh 0.0000 0.0000 0.5000
14 Rh 0.0000 0.5000 0.7500
15 Rh 0.5000 0.0000 0.2500
16 Rh 0.5000 0.5000 0.0000

## Properties
The space group is No. 122. The energy of formation from the pure elements is 274 meV per atom. Its density of states at the Fermi level is 0.145 states/eV/atom. The crystal system is tetragonal.

---

Entry 11:
DFT (GGA-PBE) results for a relaxed structure of Ta2ClO.

a b c (Å): 4.3053 4.3053 13.8234
angles (deg): 90.00 90.00 90.00
Positions (direct):
1 Ta 0.1925 0.2500 0.1250
2 Ta 0.2500 0.6925 0.3750
3 Ta 0.2500 0.8075 0.8750
4 Ta 0.3075 0.2500 0.6250
5 Ta 0.6925 0.7500 0.6250
6 Ta 0.7500 0.1925 0.8750
7 Ta 0.7500 0.3075 0.3750
8 Ta 0.8075 0.7500 0.1250
9 Cl 0.0000 0.0000 0.5000
10 Cl 0.0000 0.5000 0.7500
11 Cl 0.5000 0.0000 0.2500
12 Cl 0.5000 0.5000 0.0000
13 O 0.0000 0.0000 0.0000
14 O 0.0000 0.5000 0.2500
15 O 0.5000 0.0000 0.7500
16 O 0.5000 0.5000 0.5000

## Properties
The space group is No. 122. Its density of states at the Fermi level is 0.462 states/eV/atom. The crystal system is tetragonal. The value obtained for the raw formation energy is -0.420 eV/atom.

---

Entry 12:
DFT (GGA-PBE) results for a relaxed structure of Li2PrEr.

a b c (Å): 7.5338 7.5338 7.5338
angles (deg): 90.00 90.00 90.00
Positions (direct):
1 Li 0.2500 0.2500 0.2500
2 Li 0.2500 0.2500 0.7500
3 Li 0.2500 0.7500 0.2500
4 Li 0.2500 0.7500 0.7500
5 Li 0.7500 0.2500 0.2500
6 Li 0.7500 0.2500 0.7500
7 Li 0.7500 0.7500 0.2500
8 Li 0.7500 0.7500 0.7500
9 Pr 0.0000 0.0000 0.0000
10 Pr 0.0000 0.5000 0.5000
11 Pr 0.5000 0.0000 0.5000
12 Pr 0.5000 0.5000 0.0000
13 Er 0.0000 0.0000 0.5000
14 Er 0.0000 0.5000 0.0000
15 Er 0.5000 0.0000 0.0000
16 Er 0.5000 0.5000 0.5000

## Properties
The space group is No. 225. The energy of formation from the pure elements is 151 meV per atom. Its density of states at the Fermi level is 1.343 states/eV/atom. The crystal system is cubic.